A relaxed structure of Y2OsAu. Source: Alexandria via LeMat-Bulk, functional PBEsol.

## Properties
E_tot (eV/atom): -7.6980
E_form (kJ/mol of formula units): -97.2
Calculated volume (Å³ per atom): 20.86
Total magnetization (μB/atom): 0.00

Cell lengths 3.341, 4.890, 5.560 Å; angles 104.89, 107.48, 90.00 degrees
Fractional positions:
Au 0.525 0.479 0.050
Os 0.238 0.788 0.475
Y 0.972 0.936 0.945
Y 0.765 0.296 0.530